No. 1
# BeCdMo | Alexandria via LeMat-Bulk | PBE-GGA | optimized geometry
data_BeCdMo
_chemical_formula_sum 'Be4 Cd4 Mo4'
_space_group_name_H-M_alt 'F -4 3 m'
_space_group_IT_number 216
_space_group_name_Hall 'F -4 2 3'
_cell_length_a 5.749
_cell_length_b 5.749
_cell_length_c 5.749
_cell_angle_alpha 90.00
_cell_angle_beta 90.00
_cell_angle_gamma 90.00
loop_
_atom_site_label
_atom_site_fract_x
_atom_site_fract_y
_atom_site_fract_z
_atom_site_occupancy
Be1 0.000 0.000 0.000 1
Cd1 0.250 0.250 0.750 1
Mo1 0.250 0.250 0.250 1
# volume: 15.83 Å³/atom
# mass density: 7.599 Mg/m³
# excess energy over the best structure of this formula in the dataset: 349 meV/atom

---

No. 2
# BeCd2Mo | Alexandria via LeMat-Bulk | PBE-GGA | optimized geometry
data_BeCd2Mo
_chemical_formula_sum 'Be1 Cd2 Mo1'
_space_group_name_H-M_alt 'P 4/m m m'
_space_group_IT_number 123
_space_group_name_Hall '-P 4 2'
_cell_length_a 3.922
_cell_length_b 3.922
_cell_length_c 4.266
_cell_angle_alpha 90.00
_cell_angle_beta 90.00
_cell_angle_gamma 90.00
loop_
_atom_site_label
_atom_site_fract_x
_atom_site_fract_y
_atom_site_fract_z
_atom_site_occupancy
Be1 0.000 0.000 0.000 1
Cd1 0.000 0.500 0.500 1
Mo1 0.500 0.500 0.000 1
# volume: 16.40 Å³/atom
# mass density: 8.347 Mg/m³

---

No. 3
# BeCd4Mo | Alexandria via LeMat-Bulk | PBE-GGA | optimized geometry
data_BeCd4Mo
_chemical_formula_sum 'Be4 Cd16 Mo4'
_space_group_name_H-M_alt 'F -4 3 m'
_space_group_IT_number 216
_space_group_name_Hall 'F -4 2 3'
_cell_length_a 7.863
_cell_length_b 7.863
_cell_length_c 7.863
_cell_angle_alpha 90.00
_cell_angle_beta 90.00
_cell_angle_gamma 90.00
loop_
_atom_site_label
_atom_site_fract_x
_atom_site_fract_y
_atom_site_fract_z
_atom_site_occupancy
Be1 0.000 0.000 0.000 1
Cd1 0.125 0.125 0.625 1
Mo1 0.250 0.250 0.250 1
# volume: 20.26 Å³/atom
# mass density: 7.577 Mg/m³

---

No. 4
# BeCd2Mo | Alexandria via LeMat-Bulk | PBE-GGA | optimized geometry
data_BeCd2Mo
_chemical_formula_sum 'Be3 Cd6 Mo3'
_space_group_name_H-M_alt 'R -3 m'
_space_group_IT_number 166
_space_group_name_Hall '-R 3 2"'
_cell_length_a 2.8963
_cell_length_b 2.8963
_cell_length_c 27.4871
_cell_angle_alpha 90.00
_cell_angle_beta 90.00
_cell_angle_gamma 120.00
loop_
_atom_site_label
_atom_site_fract_x
_atom_site_fract_y
_atom_site_fract_z
_atom_site_occupancy
Be1 0.0000 0.0000 0.0000 1
Cd1 0.0000 0.0000 0.2567 1
Mo1 0.0000 0.0000 0.5000 1
# volume: 16.64 Å³/atom
# mass density: 8.227 Mg/m³

---

No. 5
# BeCdMo | Alexandria via LeMat-Bulk | PBE-GGA | optimized geometry
data_BeCdMo
_chemical_formula_sum 'Be4 Cd4 Mo4'
_space_group_name_H-M_alt 'F m m 2'
_space_group_IT_number 42
_space_group_name_Hall 'F 2 -2'
_cell_length_a 3.438
_cell_length_b 4.255
_cell_length_c 12.418
_cell_angle_alpha 90.00
_cell_angle_beta 90.00
_cell_angle_gamma 90.00
loop_
_atom_site_label
_atom_site_fract_x
_atom_site_fract_y
_atom_site_fract_z
_atom_site_occupancy
Be1 0.000 0.000 0.000 1
Cd1 0.000 0.000 0.666 1
Mo1 0.000 0.000 0.360 1
# volume: 15.14 Å³/atom
# mass density: 7.948 Mg/m³
# excess energy over the best structure of this formula in the dataset: 0 meV/atom

---

No. 6
# BeCd2Mo | Alexandria via LeMat-Bulk | PBE-GGA | optimized geometry
data_BeCd2Mo
_chemical_formula_sum 'Be2 Cd4 Mo2'
_space_group_name_H-M_alt 'A m m 2'
_space_group_IT_number 38
_space_group_name_Hall 'A 2 -2'
_cell_length_a 3.752
_cell_length_b 2.898
_cell_length_c 12.413
_cell_angle_alpha 90.00
_cell_angle_beta 90.00
_cell_angle_gamma 90.00
loop_
_atom_site_label
_atom_site_fract_x
_atom_site_fract_y
_atom_site_fract_z
_atom_site_occupancy
Be1 0.000 0.000 0.000 1
Cd1 0.000 0.000 0.794 1
Cd2 0.500 0.000 0.146 1
Mo1 0.500 0.000 0.438 1
# volume: 16.87 Å³/atom
# mass density: 8.113 Mg/m³

---

No. 7
# Be3CdMo | Alexandria via LeMat-Bulk | PBE-GGA | optimized geometry
data_Be3CdMo
_chemical_formula_sum 'Be3 Cd1 Mo1'
_space_group_name_H-M_alt 'P m -3 m'
_space_group_IT_number 221
_space_group_name_Hall '-P 4 2 3'
_cell_length_a 4.340
_cell_length_b 4.340
_cell_length_c 4.340
_cell_angle_alpha 90.00
_cell_angle_beta 90.00
_cell_angle_gamma 90.00
loop_
_atom_site_label
_atom_site_fract_x
_atom_site_fract_y
_atom_site_fract_z
_atom_site_occupancy
Be1 0.000 0.000 0.500 1
Cd1 0.500 0.500 0.500 1
Mo1 0.000 0.000 0.000 1
# volume: 16.35 Å³/atom
# mass density: 4.782 Mg/m³
# excess energy over the best structure of this formula in the dataset: 0 meV/atom

---

No. 8
# BeCd2Mo | Alexandria via LeMat-Bulk | PBE-GGA | optimized geometry
data_BeCd2Mo
_chemical_formula_sum 'Be2 Cd4 Mo2'
_space_group_name_H-M_alt 'I -4 m 2'
_space_group_IT_number 119
_space_group_name_Hall 'I -4 -2'
_cell_length_a 4.091
_cell_length_b 4.091
_cell_length_c 8.000
_cell_angle_alpha 90.00
_cell_angle_beta 90.00
_cell_angle_gamma 90.00
loop_
_atom_site_label
_atom_site_fract_x
_atom_site_fract_y
_atom_site_fract_z
_atom_site_occupancy
Be1 0.000 0.000 0.000 1
Cd1 0.000 0.000 0.500 1
Cd2 0.000 0.500 0.750 1
Mo1 0.000 0.500 0.250 1
# volume: 16.74 Å³/atom
# mass density: 8.179 Mg/m³

---

No. 9
# BeCd2Mo | Alexandria via LeMat-Bulk | PBE-GGA | optimized geometry
data_BeCd2Mo
_chemical_formula_sum 'Be2 Cd4 Mo2'
_space_group_name_H-M_alt 'I m m 2'
_space_group_IT_number 44
_space_group_name_Hall 'I 2 -2'
_cell_length_a 2.866
_cell_length_b 4.865
_cell_length_c 9.588
_cell_angle_alpha 90.00
_cell_angle_beta 90.00
_cell_angle_gamma 90.00
loop_
_atom_site_label
_atom_site_fract_x
_atom_site_fract_y
_atom_site_fract_z
_atom_site_occupancy
Be1 0.000 0.000 0.000 1
Cd1 0.000 0.000 0.514 1
Cd2 0.000 0.500 0.735 1
Mo1 0.000 0.500 0.295 1
# volume: 16.71 Å³/atom
# mass density: 8.192 Mg/m³

---

No. 10
# Be3CdMo | Alexandria via LeMat-Bulk | PBE-GGA | optimized geometry
data_Be3CdMo
_chemical_formula_sum 'Be3 Cd1 Mo1'
_space_group_name_H-M_alt 'P m -3 m'
_space_group_IT_number 221
_space_group_name_Hall '-P 4 2 3'
_cell_length_a 4.229
_cell_length_b 4.229
_cell_length_c 4.229
_cell_angle_alpha 90.00
_cell_angle_beta 90.00
_cell_angle_gamma 90.00
loop_
_atom_site_label
_atom_site_fract_x
_atom_site_fract_y
_atom_site_fract_z
_atom_site_occupancy
Be1 0.000 0.000 0.500 1
Cd1 0.000 0.000 0.000 1
Mo1 0.500 0.500 0.500 1
# volume: 15.12 Å³/atom
# mass density: 5.169 Mg/m³
# excess energy over the best structure of this formula in the dataset: 233 meV/atom

---

No. 11
# Be4CdMo | Alexandria via LeMat-Bulk | PBE-GGA | optimized geometry
data_Be4CdMo
_chemical_formula_sum 'Be16 Cd4 Mo4'
_space_group_name_H-M_alt 'F -4 3 m'
_space_group_IT_number 216
_space_group_name_Hall 'F -4 2 3'
_cell_length_a 6.470
_cell_length_b 6.470
_cell_length_c 6.470
_cell_angle_alpha 90.00
_cell_angle_beta 90.00
_cell_angle_gamma 90.00
loop_
_atom_site_label
_atom_site_fract_x
_atom_site_fract_y
_atom_site_fract_z
_atom_site_occupancy
Be1 0.120 0.120 0.120 1
Cd1 0.000 0.000 0.500 1
Mo1 0.250 0.250 0.750 1
# volume: 11.28 Å³/atom
# mass density: 5.994 Mg/m³

---

No. 12
# BeCd2Mo | Alexandria via LeMat-Bulk | PBE-GGA | optimized geometry
data_BeCd2Mo
_chemical_formula_sum 'Be4 Cd8 Mo4'
_space_group_name_H-M_alt 'F -4 3 m'
_space_group_IT_number 216
_space_group_name_Hall 'F -4 2 3'
_cell_length_a 6.459
_cell_length_b 6.459
_cell_length_c 6.459
_cell_angle_alpha 90.00
_cell_angle_beta 90.00
_cell_angle_gamma 90.00
loop_
_atom_site_label
_atom_site_fract_x
_atom_site_fract_y
_atom_site_fract_z
_atom_site_occupancy
Be1 0.000 0.000 0.000 1
Cd1 0.000 0.000 0.500 1
Cd2 0.250 0.250 0.750 1
Mo1 0.250 0.250 0.250 1
# volume: 16.84 Å³/atom
# mass density: 8.130 Mg/m³

---

no.,uncorrected energy (eV/atom)
1,-4.449
2,-3.671
3,-2.204
4,-3.531
5,-4.798
6,-3.737
7,-3.394
8,-3.445
9,-3.604
10,-3.161
11,-4.244
12,-3.440